{"formula": "BaYMnCoO5", "functional": "PBE+U", "state": "optimized geometry", "polymorph_energy_mev_per_atom": 20, "n_ef_per_ev_cell": 1.37, "lattice_angstrom": [[5.591, 0.000, 0.000], [-0.110, 5.609, 0.000], [-2.737, -2.793, 7.768]], "species": ["Ba", "Ba", "Y", "Y", "Mn", "Mn", "Co", "Co", "O", "O", "O", "O", "O", "O", "O", "O", "O", "O"], "frac_coords": [[0.000, 0.000, 0.000], [0.499, 0.504, 0.001], [0.246, 0.250, 0.490], [0.744, 0.749, 0.489], [0.365, 0.870, 0.731], [0.861, 0.365, 0.723], [0.122, 0.626, 0.248], [0.628, 0.131, 0.254], [0.072, 0.592, 0.664], [0.097, 0.110, 0.686], [0.408, 0.932, 0.302], [0.409, 0.428, 0.316], [0.502, 0.006, 0.002], [0.589, 0.584, 0.686], [0.590, 0.080, 0.662], [0.895, 0.383, 0.305], [0.906, 0.899, 0.315], [0.995, 0.499, 0.992]]}